Density functional theory data (PBE+U) for NiPbNF2 after structural relaxation.

Lattice parameters (Å, degrees): 3.9679 3.9679 4.2333 90.00 90.00 90.00
Site moments in Bohr magnetons follow the coordinates.
Atoms (fractional coordinates):
Pb  0.5000  0.5000  0.5000  0.03
F  0.0000  0.5000  0.0000  0.05
Ni  0.0000  0.0000  0.0000  1.78
N  0.0000  0.0000  0.5000  0.54
F  0.5000  0.0000  0.0000  0.05

Summary:
As for the calculated total energy: -4.4498 eV per atom. For the relative energy among the computed polymorphs, the calculation gives 0.000 eV per formula unit. The calculation puts the density of states at the Fermi level at 1.48 states/eV/f.u.